SrMn2SbAs | Alexandria | PBE | relaxed; raw formation energy = 0.6389 eV/atom; crystal system = tetragonal; size of the total moment = 0.0113 μB/atom
1.0
4.5615 0.0000 0.0000
0.0000 5.6669 0.0000
0.0000 0.0000 4.5615
Sb As Mn Sr
1 1 2 1
Cartesian
0.0000 2.8335 0.0000
0.0000 0.0000 0.0000
0.0000 0.0000 2.2807
2.2807 0.0000 0.0000
2.2807 2.8335 2.2807


KCoIr3 | Alexandria | PBE | relaxed; crystal system = cubic; size of the total moment = 0.0000 μB/atom; DFT formation energy = 1409 meV/atom
1.0
4.5922 0.0000 0.0000
0.0000 4.5922 0.0000
0.0000 0.0000 4.5922
K Ir Co
1 3 1
Cartesian
2.2961 2.2961 2.2961
0.0000 2.2961 0.0000
0.0000 0.0000 2.2961
2.2961 0.0000 0.0000
0.0000 0.0000 0.0000


Rb2CuHgW | Alexandria | PBE | relaxed; crystal system = tetragonal; size of the total moment = 0.9931 μB/atom; DFT formation energy = 1379 meV/atom
1.0
6.4220 0.0000 0.0000
0.0000 5.0639 0.0000
0.0000 0.0000 6.4220
Rb Cu Hg W
2 1 1 1
Cartesian
0.0000 0.0000 3.2110
3.2110 0.0000 0.0000
0.0000 0.0000 0.0000
0.0000 2.5320 0.0000
3.2110 2.5320 3.2110


Rb2PWCl6 | Alexandria | PBE | relaxed; raw formation energy = -0.8437 eV/atom; crystal system = tetragonal; size of the total moment = 0.1000 μB/atom
1.0
-0.8810 6.8688 -4.4054
-0.2332 -4.4504 -6.8923
-5.0759 0.8687 -5.2761
P Rb W Cl
1 2 1 6
Cartesian
-0.5571 1.2092 -5.6488
-3.2570 4.4733 -7.6652
-2.9331 -1.1863 -8.9086
0.0000 0.0000 0.0000
-2.7677 1.0426 -5.4665
-3.4224 2.2444 -11.1073
-0.2349 0.5099 -2.3820
-0.8793 1.9085 -8.9157
-0.7444 4.4823 -4.9297
-0.3697 -2.0639 -6.3679


Ba2HfAg2O6 | Alexandria | PBE | relaxed; raw formation energy = -1.8163 eV/atom; crystal system = trigonal; size of the total moment = 0.1894 μB/atom
1.0
-3.5705 3.1404 4.2044
-0.4340 -2.0844 5.9795
3.0759 3.4790 4.8048
Ba Hf Ag O
2 1 2 6
Cartesian
-1.1693 3.0660 11.0903
0.2407 1.4690 3.8983
0.0000 0.0000 0.0000
0.6676 3.0699 7.8562
-1.5961 1.4651 7.1324
-2.3472 1.6742 9.0751
-0.3077 -0.1196 6.6735
-2.0993 2.8648 5.6596
1.1708 1.6702 9.3291
-0.6208 4.6546 8.3151
1.4187 2.8608 5.9135


K2TaI | Alexandria | PBE | relaxed; raw formation energy = 0.9150 eV/atom; crystal system = cubic; size of the total moment = 1.0000 μB/atom
1.0
0.0000 4.3344 4.3344
4.3344 0.0000 4.3344
4.3344 4.3344 0.0000
I K Ta
1 2 1
Cartesian
0.0000 0.0000 0.0000
2.1672 2.1672 2.1672
6.5016 6.5016 6.5016
4.3344 4.3344 4.3344


Pm2TeAs | Alexandria | PBE | relaxed; raw formation energy = -1.5071 eV/atom; crystal system = trigonal; size of the total moment = 0.0000 μB/atom
1.0
-2.6384 3.1619 -1.0652
-4.1406 -0.7873 -0.5740
-3.5329 2.1810 6.7318
Pm Te As
2 1 1
Cartesian
-3.2574 1.8803 5.1571
-2.5372 1.0944 1.0399
-5.1592 2.2813 2.5647
-8.0470 3.7583 5.6090


CoBI2N | Alexandria | PBE | relaxed; raw formation energy = 0.5866 eV/atom; crystal system = tetragonal; size of the total moment = 0.4597 μB/atom
1.0
-2.5823 -4.9151 -2.9568
5.2895 -3.2947 0.8573
-0.9804 -0.9433 2.4242
I B Co N
2 1 1 1
Cartesian
2.6448 -1.6474 0.4287
-1.2911 -2.4576 -1.4784
0.0000 0.0000 0.0000
0.8634 -4.5766 0.1624
-0.4902 -0.4716 1.2121


Total energy list, top to bottom, in eV/atom: -5.120, -5.548, -2.478, -3.981, -6.294, -2.984, -5.830, -4.455
Density of states at the Fermi level list, top to bottom, in states/eV/f.u.: 6.23, 21.31, 2.17, 0.00, 4.31, 4.97, 2.80, 3.08